A geometry-optimized EuZn structure. Source: the Alexandria database, functional PBE.

Results
DFT formation energy (eV per atom): -0.040
Total DFT energy (no corrections) (eV per cell): -11.63

a = 4.475 Å, b = 4.475 Å, c = 4.475 Å
α = 60.00°, β = 60.00°, γ = 60.00°
Fractional positions:
Zn (0.000, 0.000, 0.000)
Eu (0.500, 0.500, 0.500)

***

A geometry-optimized EuZn11 structure. Source: the Alexandria database, functional PBE.

Results
DFT formation energy (eV per atom): -0.193
Total DFT energy (no corrections) (eV per cell): -53.20

a = 8.299 Å, b = 8.299 Å, c = 8.299 Å
α = 99.89°, β = 99.89°, γ = 131.02°
Fractional positions:
Zn (0.069, 0.653, 0.828)
Zn (0.491, 0.575, 0.672)
Zn (0.759, 0.931, 0.584)
Zn (0.347, 0.175, 0.416)
Zn (0.500, 0.500, 0.000)
Zn (0.625, 0.375, 0.250)
Zn (0.069, 0.241, 0.416)
Zn (0.425, 0.509, 0.328)
Zn (0.750, 0.250, 0.500)
Zn (0.825, 0.653, 0.584)
Zn (0.491, 0.819, 0.916)
Zn (0.903, 0.575, 0.084)
Zn (0.125, 0.375, 0.750)
Zn (0.181, 0.509, 0.084)
Zn (0.347, 0.931, 0.172)
Zn (0.625, 0.375, 0.750)
Zn (0.625, 0.875, 0.250)
Zn (0.903, 0.819, 0.328)
Zn (0.759, 0.175, 0.828)
Zn (0.825, 0.241, 0.172)
Zn (0.425, 0.097, 0.916)
Zn (0.181, 0.097, 0.672)
Eu (0.250, 0.750, 0.500)
Eu (0.000, 0.000, 0.000)

***

A geometry-optimized EuZn5 structure. Source: the Alexandria database, functional PBE.

Results
DFT formation energy (eV per atom): -0.235
Total DFT energy (no corrections) (eV per cell): -18.05

a = 4.325 Å, b = 5.409 Å, c = 5.408 Å
α = 120.03°, β = 90.00°, γ = 90.00°
Fractional positions:
Zn (0.000, 0.833, 0.833)
Zn (0.500, 0.666, 0.000)
Zn (0.000, 0.833, 0.333)
Zn (0.500, 0.000, 0.666)
Zn (0.000, 0.333, 0.833)
Eu (0.500, 0.333, 0.333)

***

A geometry-optimized EuZn structure. Source: the Alexandria database, functional PBE.

Results
DFT formation energy (eV per atom): -0.267
Total DFT energy (no corrections) (eV per cell): -12.08

a = 3.756 Å, b = 3.756 Å, c = 3.756 Å
α = 90.00°, β = 90.00°, γ = 90.00°
Fractional positions:
Eu (0.000, 0.000, 0.000)
Zn (0.500, 0.500, 0.500)

***

A geometry-optimized EuZn3 structure. Source: the Alexandria database, functional PBE.

Results
DFT formation energy (eV per atom): -0.090
Total DFT energy (no corrections) (eV per cell): -14.46

a = 4.063 Å, b = 4.118 Å, c = 5.385 Å
α = 90.00°, β = 90.00°, γ = 90.00°
Fractional positions:
Zn (0.500, 0.500, 0.870)
Zn (0.000, 0.000, 0.875)
Zn (0.500, 0.000, 0.574)
Eu (0.000, 0.500, 0.348)

***

A geometry-optimized EuZrZn2 structure. Source: the Alexandria database, functional PBE.

Results
DFT formation energy (eV per atom): 0.041
Total DFT energy (no corrections) (eV per cell): -21.21

a = 3.434 Å, b = 3.434 Å, c = 9.371 Å
α = 79.44°, β = 79.44°, γ = 60.00°
Fractional positions:
Zn (0.258, 0.258, 0.227)
Zn (0.742, 0.742, 0.773)
Zr (0.000, 0.000, 0.000)
Eu (0.500, 0.500, 0.500)

***

A geometry-optimized EuZrZn2 structure. Source: the Alexandria database, functional PBE.

Results
DFT formation energy (eV per atom): -0.205
Total DFT energy (no corrections) (eV per cell): -22.19

a = 3.481 Å, b = 3.481 Å, c = 7.246 Å
α = 90.00°, β = 90.00°, γ = 90.00°
Fractional positions:
Eu (0.500, 0.500, 0.500)
Zr (0.500, 0.500, 0.000)
Zn (0.000, 0.000, 0.792)
Zn (0.000, 0.000, 0.208)

***

A geometry-optimized EuZrZn4 structure. Source: the Alexandria database, functional PBE.

Results
DFT formation energy (eV per atom): -0.173
Total DFT energy (no corrections) (eV per cell): -24.96

a = 5.407 Å, b = 5.407 Å, c = 5.407 Å
α = 60.00°, β = 60.00°, γ = 60.00°
Fractional positions:
Zn (0.627, 0.120, 0.627)
Zn (0.120, 0.627, 0.627)
Zn (0.627, 0.627, 0.627)
Zn (0.627, 0.627, 0.120)
Eu (0.250, 0.250, 0.250)
Zr (0.000, 0.000, 0.000)

***

A geometry-optimized EuZr5 structure. Source: the Alexandria database, functional PBE.

Results
DFT formation energy (eV per atom): 0.192
Total DFT energy (no corrections) (eV per cell): -51.86

a = 4.600 Å, b = 4.608 Å, c = 7.293 Å
α = 108.42°, β = 90.00°, γ = 90.00°
Fractional positions:
Zr (0.500, 0.172, 0.343)
Zr (0.000, 0.329, 0.658)
Zr (0.000, 0.671, 0.342)
Zr (0.500, 0.828, 0.657)
Zr (0.500, 0.500, 0.000)
Eu (0.000, 0.000, 0.000)

***

A geometry-optimized EuZr3 structure. Source: the Alexandria database, functional PBE.

Results
DFT formation energy (eV per atom): 0.215
Total DFT energy (no corrections) (eV per cell): -35.06

a = 3.255 Å, b = 5.312 Å, c = 5.965 Å
α = 90.00°, β = 90.00°, γ = 90.00°
Fractional positions:
Zr (0.000, 0.000, 0.987)
Zr (0.500, 0.500, 0.819)
Zr (0.500, 0.000, 0.545)
Eu (0.000, 0.500, 0.317)

***

A geometry-optimized Eu3Zr structure. Source: the Alexandria database, functional PBE.

Results
DFT formation energy (eV per atom): 0.352
Offset from the most stable computed form (meV/atom): 12
Total DFT energy (no corrections) (eV per cell): -37.96

a = 6.225 Å, b = 6.225 Å, c = 6.225 Å
α = 131.17°, β = 131.17°, γ = 71.54°
Fractional positions:
Zr (0.000, 0.000, 0.000)
Eu (0.250, 0.750, 0.500)
Eu (0.500, 0.500, 0.000)
Eu (0.750, 0.250, 0.500)

***

A geometry-optimized Eu3Zr structure. Source: the Alexandria database, functional PBE.

Results
DFT formation energy (eV per atom): 0.340
Offset from the most stable computed form (meV/atom): 0
Total DFT energy (no corrections) (eV per cell): -38.01

a = 5.139 Å, b = 5.139 Å, c = 5.139 Å
α = 90.00°, β = 90.00°, γ = 90.00°
Fractional positions:
Eu (0.500, 0.000, 0.500)
Eu (0.000, 0.500, 0.500)
Eu (0.500, 0.500, 0.000)
Zr (0.000, 0.000, 0.000)

***

A geometry-optimized F structure. Source: the Alexandria database, functional PBE.

Results
Offset from the most stable computed form (meV/atom): 530
Total DFT energy (no corrections) (eV per cell): -16.10
Energy relative to the elements, uncorrected (eV per atom): 0.53

a = 6.021 Å, b = 6.021 Å, c = 6.021 Å
α = 90.00°, β = 90.00°, γ = 90.00°
Fractional positions:
F (0.000, 0.500, 0.750)
F (0.500, 0.250, 0.000)
F (0.750, 0.500, 0.000)
F (0.500, 0.000, 0.750)
F (0.000, 0.500, 0.250)
F (0.000, 0.250, 0.500)
F (0.250, 0.000, 0.500)
F (0.500, 0.000, 0.250)
F (0.250, 0.500, 0.000)
F (0.000, 0.750, 0.500)
F (0.750, 0.000, 0.500)
F (0.500, 0.750, 0.000)

***

A geometry-optimized F structure. Source: the Alexandria database, functional PBE.

Results
Offset from the most stable computed form (meV/atom): 8
Total DFT energy (no corrections) (eV per cell): -29.82
Energy relative to the elements, uncorrected (eV per atom): 0.01

a = 9.268 Å, b = 9.268 Å, c = 2.995 Å
α = 90.00°, β = 90.00°, γ = 90.00°
Fractional positions:
F (0.115, 0.199, 0.500)
F (0.199, 0.885, 0.500)
F (0.885, 0.801, 0.500)
F (0.301, 0.615, 0.000)
F (0.503, 0.805, 0.000)
F (0.497, 0.195, 0.000)
F (0.997, 0.695, 0.500)
F (0.003, 0.305, 0.500)
F (0.195, 0.503, 0.000)
F (0.385, 0.301, 0.000)
F (0.695, 0.003, 0.500)
F (0.615, 0.699, 0.000)
F (0.699, 0.385, 0.000)
F (0.805, 0.497, 0.000)
F (0.305, 0.997, 0.500)
F (0.801, 0.115, 0.500)

***

A geometry-optimized F structure. Source: the Alexandria database, functional PBE.

Results
Offset from the most stable computed form (meV/atom): 8
Total DFT energy (no corrections) (eV per cell): -29.82
Energy relative to the elements, uncorrected (eV per atom): 0.01

a = 6.682 Å, b = 6.133 Å, c = 5.863 Å
α = 90.00°, β = 90.00°, γ = 90.00°
Fractional positions:
F (0.318, 0.113, 0.367)
F (0.818, 0.113, 0.133)
F (0.059, 0.696, 0.866)
F (0.441, 0.196, 0.866)
F (0.559, 0.804, 0.134)
F (0.441, 0.304, 0.366)
F (0.182, 0.613, 0.367)
F (0.682, 0.887, 0.633)
F (0.941, 0.196, 0.634)
F (0.182, 0.887, 0.867)
F (0.941, 0.304, 0.134)
F (0.059, 0.804, 0.366)
F (0.559, 0.696, 0.634)
F (0.318, 0.387, 0.867)
F (0.818, 0.387, 0.633)
F (0.682, 0.613, 0.133)

***

A geometry-optimized F structure. Source: the Alexandria database, functional PBE.

Results
Offset from the most stable computed form (meV/atom): 681
Total DFT energy (no corrections) (eV per cell): -1.19
Energy relative to the elements, uncorrected (eV per atom): 0.68

a = 2.387 Å, b = 2.387 Å, c = 2.387 Å
α = 109.47°, β = 109.47°, γ = 109.47°
Fractional positions:
F (0.000, 0.000, 0.000)

***

A geometry-optimized F structure. Source: the Alexandria database, functional PBE.

Results
Offset from the most stable computed form (meV/atom): 535
Total DFT energy (no corrections) (eV per cell): -1.34
Energy relative to the elements, uncorrected (eV per atom): 0.53

a = 2.239 Å, b = 2.239 Å, c = 2.239 Å
α = 90.00°, β = 90.00°, γ = 90.00°
Fractional positions:
F (0.000, 0.000, 0.000)

***

A geometry-optimized F structure. Source: the Alexandria database, functional PBE.

Results
Offset from the most stable computed form (meV/atom): 15
Total DFT energy (no corrections) (eV per cell): -29.71
Energy relative to the elements, uncorrected (eV per atom): 0.01

a = 6.964 Å, b = 6.964 Å, c = 6.964 Å
α = 90.00°, β = 90.00°, γ = 90.00°
Fractional positions:
F (0.739, 0.739, 0.739)
F (0.739, 0.261, 0.261)
F (0.643, 0.643, 0.357)
F (0.239, 0.761, 0.761)
F (0.261, 0.739, 0.261)
F (0.143, 0.143, 0.857)
F (0.643, 0.357, 0.643)
F (0.761, 0.239, 0.761)
F (0.857, 0.857, 0.857)
F (0.357, 0.357, 0.357)
F (0.261, 0.261, 0.739)
F (0.357, 0.643, 0.643)
F (0.239, 0.239, 0.239)
F (0.761, 0.761, 0.239)
F (0.143, 0.857, 0.143)
F (0.857, 0.143, 0.143)

***

A geometry-optimized F structure. Source: the Alexandria database, functional PBE.

Results
Offset from the most stable computed form (meV/atom): 2
Total DFT energy (no corrections) (eV per cell): -7.48
Energy relative to the elements, uncorrected (eV per atom): 0.00

a = 3.187 Å, b = 3.187 Å, c = 7.234 Å
α = 77.67°, β = 77.67°, γ = 60.39°
Fractional positions:
F (0.493, 0.493, 0.600)
F (0.938, 0.938, 0.099)
F (0.507, 0.507, 0.400)
F (0.062, 0.062, 0.901)

***

A geometry-optimized F structure. Source: the Alexandria database, functional PBE.

Results
Offset from the most stable computed form (meV/atom): 0
Total DFT energy (no corrections) (eV per cell): -7.49
Energy relative to the elements, uncorrected (eV per atom): 0.00

a = 3.227 Å, b = 3.227 Å, c = 6.596 Å
α = 90.00°, β = 90.00°, γ = 115.42°
Fractional positions:
F (0.908, 0.908, 0.903)
F (0.592, 0.592, 0.403)
F (0.092, 0.092, 0.097)
F (0.408, 0.408, 0.597)